Entry 1:
B3AuI | SCAN | PBEsol geometry

Cell lengths 4.3501, 4.3501, 4.3501 Å; angles 90.00, 90.00, 90.00 degrees
With the nearest neighbours (Å) after each atom.
Space group Pm-3m (No. 221)
Inequivalent atoms, fractional coordinates:
B1 0.0000 0.0000 0.5000 x3  2 I 2.18
Au1 0.5000 0.5000 0.5000 x1  12 B 3.08
I1 0.0000 0.0000 0.0000 x1  6 B 2.18

Summary:
As for the calculated volume: 16.46 Å³ per atom. For the uncorrected formation energy, the calculation gives 2.747 eV per atom.



Entry 2:
CuAsPbN2 | SCAN | PBEsol geometry

Cell lengths 4.2000, 4.2000, 5.0477 Å; angles 90.00, 90.00, 90.00 degrees
With the nearest neighbours (Å) after each atom.
Space group P4/mmm (No. 123)
Inequivalent atoms, fractional coordinates:
Cu1 0.0000 0.0000 0.0000 x1  2 Pb 2.52
As1 0.5000 0.5000 0.0000 x1  4 Cu 2.97, 8 N 3.28
Pb1 0.0000 0.0000 0.5000 x1  4 N 2.10
N1 0.0000 0.5000 0.5000 x2  2 Pb 2.10

Summary:
As for the calculated volume: 17.81 Å³ per atom. For the uncorrected formation energy, the calculation gives 2.105 eV per atom.



> The lowest calculated volume belongs to which entry?

B3AuI



> The lowest calculated volume belongs to which entry?

B3AuI



> Which of these has the lowest calculated volume?

B3AuI



> Look up the calculated volume of the second one.

17.81 Å³ per atom